Entry from Alexandria: crystalline Tl2ReBr at its relaxed geometry (PBE).

Results
- total DFT energy (no corrections) (eV/atom) = -3.74
- energy above the lowest structure with this stoichiometry (meV/atom) = 367
- energy relative to the elements, uncorrected (eV/atom) = 0.98
- space-group type = P2/m

a = 3.3613 Å, b = 5.3109 Å, c = 5.5576 Å
α = 90.00°, β = 96.39°, γ = 90.00°
Last column: nearest neighbours and their distance in Å.
Sites, in units of the cell vectors:
Tl 0.1835 0.0000 0.2619  5 Tl 3.03-3.36, 2 Re 3.10, 2 Br 3.26
Tl 0.8165 0.0000 0.7381  5 Tl 3.03-3.36, 2 Re 3.10, 2 Br 3.26
Re 0.5000 0.5000 0.5000  2 Br 2.78, 4 Tl 3.10
Br 0.5000 0.5000 0.0000  2 Re 2.78